The following is a DFT calculation (GGA-PBE) of crystalline Nb2TlTc at its relaxed geometry.

**Magnetization**: 1.12 μB/cell
**Symmetry**: F-43m (216)

Lattice parameters (Å, degrees): 4.6759 4.6759 4.6759 60.00 60.00 60.00
With the nearest neighbours (Å) after each atom.
Positions (direct):
Nb 0.0000 0.0000 0.0000  4 Nb 2.86, 4 Tc 2.86
Nb 0.7500 0.7500 0.7500  4 Nb 2.86, 4 Tl 2.86
Tc 0.2500 0.2500 0.2500  4 Tl 2.86, 4 Nb 2.86
Tl 0.5000 0.5000 0.5000  4 Tc 2.86, 4 Nb 2.86


The following is a DFT calculation (GGA-PBE) of crystalline CsAgPdSe3 at its relaxed geometry.

**Symmetry**: Pnma (62)
**E above lowest polymorph**: 0.003 eV per atom

Lattice parameters (Å, degrees): 15.5983 4.0181 10.6686 90.00 90.00 90.00
With the nearest neighbours (Å) after each atom.
Positions (direct):
Ag 0.5162 0.2500 0.0870  4 Se 2.65-2.82, 2 Ag 2.78
Ag 0.0162 0.2500 0.4130  4 Se 2.65-2.82, 2 Ag 2.78
Ag 0.9838 0.7500 0.5870  4 Se 2.65-2.82, 2 Ag 2.78
Ag 0.4838 0.7500 0.9130  4 Se 2.65-2.82, 2 Ag 2.78
Cs 0.7267 0.7500 0.0545  7 Se 3.69-3.76, 3 Ag 3.86-4.08, 2 Cs 4.02
Cs 0.2267 0.7500 0.4455  7 Se 3.69-3.76, 3 Ag 3.86-4.08, 2 Cs 4.02
Cs 0.7733 0.2500 0.5545  7 Se 3.69-3.76, 3 Ag 3.86-4.08, 2 Cs 4.02
Cs 0.2733 0.2500 0.9455  7 Se 3.69-3.76, 3 Ag 3.86-4.08, 2 Cs 4.02
Pd 0.0115 0.7500 0.1489  6 Se 2.51-2.61
Pd 0.5115 0.7500 0.3511  6 Se 2.51-2.61
Pd 0.4885 0.2500 0.6489  6 Se 2.51-2.61
Pd 0.9885 0.2500 0.8511  6 Se 2.51-2.61
Se 0.9261 0.2500 0.0684  3 Pd 2.51-2.56
Se 0.4110 0.7500 0.1550  1 Pd 2.61, 3 Ag 2.69-2.82
Se 0.1110 0.2500 0.2066  2 Pd 2.61, 1 Ag 2.65
Se 0.6110 0.2500 0.2934  2 Pd 2.61, 1 Ag 2.65
Se 0.9110 0.7500 0.3450  1 Pd 2.61, 3 Ag 2.69-2.82
Se 0.4261 0.2500 0.4316  3 Pd 2.51-2.56
Se 0.5739 0.7500 0.5684  3 Pd 2.51-2.56
Se 0.0890 0.2500 0.6550  1 Pd 2.61, 3 Ag 2.69-2.82
Se 0.3890 0.7500 0.7066  2 Pd 2.61, 1 Ag 2.65
Se 0.8890 0.7500 0.7934  2 Pd 2.61, 1 Ag 2.65
Se 0.5890 0.2500 0.8450  1 Pd 2.61, 3 Ag 2.69-2.82
Se 0.0739 0.7500 0.9316  3 Pd 2.51-2.56


The following is a DFT calculation (GGA-PBE) of crystalline NaThIr at its relaxed geometry.

**Magnetization**: 0.00 μB/cell
**Symmetry**: F-43m (216)
**E above lowest polymorph**: 0.177 eV per atom

Lattice parameters (Å, degrees): 4.5961 4.5961 4.5961 60.00 60.00 60.00
With the nearest neighbours (Å) after each atom.
Positions (direct):
Ir 0.2500 0.2500 0.2500  4 Na 2.81
Na 0.0000 0.0000 0.0000  4 Th 2.81, 4 Ir 2.81
Th 0.7500 0.7500 0.7500  4 Na 2.81


The following is a DFT calculation (GGA-PBE) of crystalline NaCdRe at its relaxed geometry.

**Magnetization**: 2.96 μB/cell
**Symmetry**: F-43m (216)

Lattice parameters (Å, degrees): 4.6788 4.6788 4.6788 60.00 60.00 60.00
With the nearest neighbours (Å) after each atom.
Positions (direct):
Cd 0.2500 0.2500 0.2500  4 Re 2.87
Na 0.7500 0.7500 0.7500  4 Re 2.87
Re 0.0000 0.0000 0.0000  4 Na 2.87, 4 Cd 2.87


The following is a DFT calculation (GGA-PBE) of crystalline Tm3Zr3NiTe2 at its relaxed geometry.

**Magnetization**: 0.01 μB/cell
**Symmetry**: P-62m (189)
**E above lowest polymorph**: 0.000 eV per atom

Lattice parameters (Å, degrees): 7.9515 7.9515 3.8555 90.00 90.00 120.00
With the nearest neighbours (Å) after each atom.
Positions (direct):
Ni 0.0000 0.0000 0.0000  6 Zr 2.67
Te 0.6667 0.3333 0.5000  6 Tm 3.11, 3 Zr 3.13
Te 0.3333 0.6667 0.5000  6 Tm 3.11, 3 Zr 3.13
Tm 0.3971 0.0000 0.0000  4 Te 3.11, 1 Ni 3.16, 4 Zr 3.36
Tm 0.0000 0.3971 0.0000  4 Te 3.11, 1 Ni 3.16, 4 Zr 3.36
Tm 0.6029 0.6029 0.0000  4 Te 3.11, 1 Ni 3.16, 4 Zr 3.36
Zr 0.7680 0.0000 0.5000  2 Ni 2.67
Zr 0.2320 0.2320 0.5000  2 Ni 2.67
Zr 0.0000 0.7680 0.5000  2 Ni 2.67


The following is a DFT calculation (GGA-PBE) of crystalline Pr2DyAl3Ge2Pt at its relaxed geometry.

**Magnetization**: 0.00 μB/cell
**Symmetry**: Amm2 (38)

Lattice parameters (Å, degrees): 4.3150 7.1872 7.1872 120.59 90.00 90.00
With the nearest neighbours (Å) after each atom.
Positions (direct):
Al 0.5000 0.2292 0.0051  2 Pt 2.69, 2 Ge 2.76-2.99, 2 Al 2.80-2.84
Al 0.5000 0.0051 0.2292  2 Pt 2.69, 2 Ge 2.76-2.99, 2 Al 2.80-2.84
Al 0.5000 0.7704 0.7704  2 Pt 2.74, 2 Ge 2.79, 2 Al 2.84
Dy 0.0000 0.4124 0.4124  1 Pt 2.88, 4 Ge 2.99
Ge 0.5000 0.6546 0.3365  3 Al 2.76-2.99, 2 Dy 2.99, 2 Pr 3.08
Ge 0.5000 0.3365 0.6546  3 Al 2.76-2.99, 2 Dy 2.99, 2 Pr 3.08
Pr 0.0000 0.9990 0.5847  1 Pt 3.01, 4 Ge 3.08-3.09, 2 Al 3.36
Pr 0.0000 0.5847 0.9990  1 Pt 3.01, 4 Ge 3.08-3.09, 2 Al 3.36
Pt 0.0000 0.0080 0.0080  6 Al 2.69-2.74, 1 Dy 2.88


The following is a DFT calculation (GGA-PBE) of crystalline PuInW at its relaxed geometry.

**Magnetization**: 0.02 μB/cell
**Symmetry**: F-43m (216)
**E above lowest polymorph**: 0.716 eV per atom

Lattice parameters (Å, degrees): 4.6998 4.6998 4.6998 60.00 60.00 60.00
With the nearest neighbours (Å) after each atom.
Positions (direct):
In 0.2500 0.2500 0.2500  4 Pu 2.88
Pu 0.0000 0.0000 0.0000  4 In 2.88, 4 W 2.88
W 0.7500 0.7500 0.7500  4 Pu 2.88


The following is a DFT calculation (GGA-PBE) of crystalline KPrTm at its relaxed geometry.

**Magnetization**: 0.78 μB/cell
**Symmetry**: F-43m (216)
**E above lowest polymorph**: 0.000 eV per atom

Lattice parameters (Å, degrees): 5.8916 5.8916 5.8916 60.00 60.00 60.00
With the nearest neighbours (Å) after each atom.
Positions (direct):
K 0.2500 0.2500 0.2500  4 Tm 3.61
Pr 0.7500 0.7500 0.7500  4 Tm 3.61
Tm 0.0000 0.0000 0.0000  4 Pr 3.61, 4 K 3.61


Q: Which uncorrected energy values were calculated for the entries above? A: -7.8640, -3.6456, -5.3576, -3.2425, -6.3047, -5.3699, -8.0970, -2.3354, in eV per atom.